Record 1
! TbDy2TlN | the Alexandria database | GGA-PBE | optimized geometry; values from VASP
&SYSTEM
  ibrav = 0, nat = 5, ntyp = 4
/
ATOMIC_SPECIES
Dy 162.50 Dy.upf
Tl 204.38 Tl.upf
N 14.01 N.upf
Tb 158.93 Tb.upf
ATOMIC_POSITIONS crystal
Dy 0.000 0.500 0.000
Dy 0.000 0.000 0.500
Tl 0.500 0.500 0.500
N 0.000 0.000 0.000
Tb 0.500 0.000 0.000
CELL_PARAMETERS angstrom
4.850 0.000 0.000
0.000 4.822 0.000
0.000 0.000 4.822
! Total DFT energy (no corrections), eV per atom: -5.8415
! ρ, g cm⁻³: 10.34
! Symmetry: P4/mmm (123)



Record 2
! Ac4Sn3F | the Alexandria database | GGA-PBE | optimized geometry; values from VASP
&SYSTEM
  ibrav = 0, nat = 8, ntyp = 3
/
ATOMIC_SPECIES
Ac 227.00 Ac.upf
Sn 118.71 Sn.upf
F 19.00 F.upf
ATOMIC_POSITIONS crystal
Ac 0.556 0.239 0.318
Ac 0.139 0.279 0.419
Sn 0.626 0.215 0.842
F 0.111 0.500 0.611
Sn 0.874 0.000 0.874
Ac 0.139 0.721 0.860
Sn 0.626 0.785 0.411
Ac 0.079 0.761 0.318
CELL_PARAMETERS angstrom
7.544 -0.212 -0.938
-3.900 6.461 0.938
-4.047 -1.827 6.174
! Total DFT energy (no corrections), eV per atom: -4.7154
! ρ, g cm⁻³: 7.66
! Symmetry: Imm2 (44)



Record 3
! CdSb2Cl | the Alexandria database | GGA-PBE | optimized geometry; values from VASP
&SYSTEM
  ibrav = 0, nat = 4, ntyp = 3
/
ATOMIC_SPECIES
Sb 121.76 Sb.upf
Cd 112.41 Cd.upf
Cl 35.45 Cl.upf
ATOMIC_POSITIONS crystal
Sb 0.962 0.962 0.000
Cd 0.534 0.534 0.000
Sb 0.757 0.257 0.500
Cl 0.247 0.747 0.500
CELL_PARAMETERS angstrom
-0.831 -5.754 3.725
-0.251 -6.510 -2.287
3.272 6.049 0.621
! Total DFT energy (no corrections), eV per atom: -2.7730
! ρ, g cm⁻³: 6.03
! Symmetry: Imm2 (44)



Record 4
! Ba2CuSeO2 | the Alexandria database | GGA-PBE | optimized geometry; values from VASP
&SYSTEM
  ibrav = 0, nat = 6, ntyp = 4
/
ATOMIC_SPECIES
O 16.00 O.upf
Se 78.96 Se.upf
Cu 63.55 Cu.upf
Ba 137.33 Ba.upf
ATOMIC_POSITIONS crystal
O 0.500 0.000 0.500
Se 0.000 0.000 0.000
O 0.000 0.500 0.500
Cu 0.000 0.000 0.500
Ba 0.500 0.500 0.745
Ba 0.500 0.500 0.255
CELL_PARAMETERS angstrom
-0.065 -3.388 2.254
4.069 -0.055 0.035
0.003 4.205 6.321
! Total DFT energy (no corrections), eV per atom: -5.2983
! ρ, g cm⁻³: 5.93
! Symmetry: P4/mmm (123)



Record 5
! Cs2HoCd3F12 | the Alexandria database | GGA-PBE | optimized geometry; values from VASP
&SYSTEM
  ibrav = 0, nat = 18, ntyp = 4
/
ATOMIC_SPECIES
F 19.00 F.upf
Cd 112.41 Cd.upf
Cs 132.91 Cs.upf
Ho 164.93 Ho.upf
ATOMIC_POSITIONS crystal
F 0.680 0.073 0.073
Cd 0.000 0.000 0.500
F 0.320 0.927 0.927
F 0.927 0.320 0.927
F 0.326 0.918 0.326
F 0.073 0.073 0.680
Cd 0.500 0.000 0.000
Cs 0.617 0.617 0.617
F 0.674 0.674 0.082
F 0.918 0.326 0.326
F 0.082 0.674 0.674
Cs 0.383 0.383 0.383
F 0.674 0.082 0.674
F 0.927 0.927 0.320
Ho 0.000 0.000 0.000
F 0.073 0.680 0.073
Cd 0.000 0.500 0.000
F 0.326 0.326 0.918
CELL_PARAMETERS angstrom
8.207 0.136 0.097
4.172 7.069 0.097
4.172 2.428 6.640
! Total DFT energy (no corrections), eV per atom: -4.3939
! ρ, g cm⁻³: 4.38
! Symmetry: R-3m (166)



Record 6
! CrNiB3 | the Alexandria database | GGA-PBE | optimized geometry; values from VASP
&SYSTEM
  ibrav = 0, nat = 5, ntyp = 3
/
ATOMIC_SPECIES
B 10.81 B.upf
Cr 52.00 Cr.upf
Ni 58.69 Ni.upf
ATOMIC_POSITIONS crystal
B 0.000 0.500 0.000
Cr 0.000 0.000 0.000
B 0.000 0.000 0.500
Ni 0.500 0.500 0.500
B 0.500 0.000 0.000
CELL_PARAMETERS angstrom
3.805 0.000 0.000
0.000 3.805 0.000
0.000 0.000 3.805
! Total DFT energy (no corrections), eV per atom: -5.8204
! ρ, g cm⁻³: 4.31
! Symmetry: Pm-3m (221)



Record 7
! LaHfBeN3 | the Alexandria database | GGA-PBE | optimized geometry; values from VASP
&SYSTEM
  ibrav = 0, nat = 12, ntyp = 4
/
ATOMIC_SPECIES
Be 9.01 Be.upf
Hf 178.49 Hf.upf
N 14.01 N.upf
La 138.91 La.upf
ATOMIC_POSITIONS crystal
Be 0.250 0.078 0.602
Hf 0.750 0.336 0.833
N 0.250 0.835 0.477
N 0.750 0.165 0.523
N 0.750 0.869 0.143
La 0.750 0.805 0.770
Hf 0.250 0.664 0.167
N 0.250 0.131 0.857
N 0.750 0.446 0.164
Be 0.750 0.922 0.398
N 0.250 0.554 0.836
La 0.250 0.195 0.230
CELL_PARAMETERS angstrom
-1.451 -2.866 0.584
4.433 -1.146 5.386
-5.415 3.315 2.813
! Total DFT energy (no corrections), eV per atom: -8.7159
! ρ, g cm⁻³: 7.90
! Symmetry: P2_1/m (11)



Record 8
! HgSb2As | the Alexandria database | GGA-PBE | optimized geometry; values from VASP
&SYSTEM
  ibrav = 0, nat = 4, ntyp = 3
/
ATOMIC_SPECIES
Sb 121.76 Sb.upf
As 74.92 As.upf
Hg 200.59 Hg.upf
ATOMIC_POSITIONS crystal
Sb 0.250 0.750 0.500
Sb 0.000 0.000 0.000
As 0.500 0.500 0.000
Hg 0.750 0.250 0.500
CELL_PARAMETERS angstrom
5.705 -0.095 0.000
2.011 5.340 0.000
-3.858 -2.622 3.285
! Total DFT energy (no corrections), eV per atom: -2.9702
! ρ, g cm⁻³: 8.56
! Symmetry: I-4m2 (119)



Record 9
! GaBiIO2 | the Alexandria database | GGA-PBE | optimized geometry; values from VASP
&SYSTEM
  ibrav = 0, nat = 5, ntyp = 4
/
ATOMIC_SPECIES
Ga 69.72 Ga.upf
O 16.00 O.upf
I 126.90 I.upf
Bi 208.98 Bi.upf
ATOMIC_POSITIONS crystal
Ga 0.500 0.500 0.500
O 0.000 0.500 0.000
I 0.000 0.000 0.500
Bi 0.000 0.000 0.000
O 0.500 0.000 0.000
CELL_PARAMETERS angstrom
4.368 0.000 0.000
0.000 4.368 0.000
0.000 0.000 6.616
! Total DFT energy (no corrections), eV per atom: -4.0234
! ρ, g cm⁻³: 5.76
! Symmetry: P4/mmm (123)



Record 10
! Fe2CuRu | the Alexandria database | GGA-PBE | optimized geometry; values from VASP
&SYSTEM
  ibrav = 0, nat = 8, ntyp = 3
/
ATOMIC_SPECIES
Fe 55.84 Fe.upf
Cu 63.55 Cu.upf
Ru 101.07 Ru.upf
ATOMIC_POSITIONS crystal
Fe 0.621 0.125 0.250
Fe 0.875 0.871 0.750
Cu 0.250 0.750 0.500
Ru 0.750 0.250 0.500
Ru 0.000 0.000 0.000
Cu 0.500 0.500 0.000
Fe 0.129 0.625 0.250
Fe 0.375 0.379 0.750
CELL_PARAMETERS angstrom
-0.472 2.632 -6.046
0.609 -6.018 -2.667
-2.436 -1.978 -4.285
! Total DFT energy (no corrections), eV per atom: -6.9070
! ρ, g cm⁻³: 8.32
! Symmetry: I-42d (122)



Record 11
! Ca2InPd2 | the Alexandria database | GGA-PBE | optimized geometry; values from VASP
&SYSTEM
  ibrav = 0, nat = 10, ntyp = 3
/
ATOMIC_SPECIES
Ca 40.08 Ca.upf
Pd 106.42 Pd.upf
In 114.82 In.upf
ATOMIC_POSITIONS crystal
Ca 0.205 0.496 0.150
Pd 0.003 0.730 0.502
In 0.156 0.844 0.750
Ca 0.504 0.795 0.350
Pd 0.730 0.003 0.002
Ca 0.496 0.205 0.650
Pd 0.997 0.270 0.498
Pd 0.270 0.997 0.998
In 0.844 0.156 0.250
Ca 0.795 0.504 0.850
CELL_PARAMETERS angstrom
5.868 -0.005 -0.003
3.041 5.019 -0.003
1.818 1.023 7.938
! Total DFT energy (no corrections), eV per atom: -4.1497
! ρ, g cm⁻³: 5.79
! Symmetry: C2/c (15)



Record 12
! Sm4CuAg3 | the Alexandria database | GGA-PBE | optimized geometry; values from VASP
&SYSTEM
  ibrav = 0, nat = 8, ntyp = 3
/
ATOMIC_SPECIES
Cu 63.55 Cu.upf
Sm 150.36 Sm.upf
Ag 107.87 Ag.upf
ATOMIC_POSITIONS crystal
Cu 0.500 0.500 0.074
Sm 0.500 0.500 0.348
Sm 0.000 0.500 0.867
Sm 0.000 0.000 0.140
Sm 0.500 0.000 0.644
Ag 0.000 0.500 0.578
Ag 0.000 0.000 0.422
Ag 0.500 0.000 0.927
CELL_PARAMETERS angstrom
3.870 0.000 0.000
0.000 4.821 0.000
0.000 0.000 10.994
! Total DFT energy (no corrections), eV per atom: -4.1740
! ρ, g cm⁻³: 8.00
! Symmetry: Pmm2 (25)



Record 13
! Ca2Mg2C | the Alexandria database | GGA-PBE | optimized geometry; values from VASP
&SYSTEM
  ibrav = 0, nat = 5, ntyp = 3
/
ATOMIC_SPECIES
C 12.01 C.upf
Ca 40.08 Ca.upf
Mg 24.30 Mg.upf
ATOMIC_POSITIONS crystal
C 0.000 0.000 0.000
Ca 0.578 0.578 0.844
Ca 0.422 0.422 0.156
Mg 0.750 0.250 0.500
Mg 0.250 0.750 0.500
CELL_PARAMETERS angstrom
-0.609 1.766 -3.107
2.587 -1.957 -1.619
-5.313 -6.458 -4.744
! Total DFT energy (no corrections), eV per atom: -2.5579
! ρ, g cm⁻³: 1.92
! Symmetry: I4/mmm (139)



Record 14
! SrYSi2 | the Alexandria database | GGA-PBE | optimized geometry; values from VASP
&SYSTEM
  ibrav = 0, nat = 4, ntyp = 3
/
ATOMIC_SPECIES
Sr 87.62 Sr.upf
Si 28.09 Si.upf
Y 88.91 Y.upf
ATOMIC_POSITIONS crystal
Sr 0.000 0.579 0.375
Si 0.000 0.111 0.875
Y 0.500 0.698 0.875
Si 0.500 0.112 0.375
CELL_PARAMETERS angstrom
5.331 0.000 0.000
0.000 3.446 -0.001
0.000 0.002 5.330
! Total DFT energy (no corrections), eV per atom: -4.9753
! ρ, g cm⁻³: 3.95
! Symmetry: P4mm (99)



Record 15
! Cu3HgSb | the Alexandria database | GGA-PBE | optimized geometry; values from VASP
&SYSTEM
  ibrav = 0, nat = 5, ntyp = 3
/
ATOMIC_SPECIES
Cu 63.55 Cu.upf
Hg 200.59 Hg.upf
Sb 121.76 Sb.upf
ATOMIC_POSITIONS crystal
Cu 0.500 0.000 0.000
Hg 0.000 0.000 0.000
Cu 0.000 0.500 0.000
Sb 0.500 0.500 0.500
Cu 0.000 0.000 0.500
CELL_PARAMETERS angstrom
4.817 0.000 0.000
0.000 4.817 0.000
0.000 0.000 4.817
! Total DFT energy (no corrections), eV per atom: -2.5312
! ρ, g cm⁻³: 7.62
! Symmetry: Pm-3m (221)



Record 16
! Nb2PdS5 | the Alexandria database | GGA-PBE | optimized geometry; values from VASP
&SYSTEM
  ibrav = 0, nat = 16, ntyp = 3
/
ATOMIC_SPECIES
S 32.06 S.upf
Nb 92.91 Nb.upf
Pd 106.42 Pd.upf
ATOMIC_POSITIONS crystal
S 0.955 0.909 0.604
S 0.328 0.655 0.413
S 0.672 0.345 0.913
Nb 0.830 0.661 0.443
S 0.263 0.525 0.750
S 0.737 0.475 0.250
S 0.045 0.091 0.396
Pd 0.189 0.378 0.250
Nb 0.830 0.661 0.057
S 0.045 0.091 0.104
S 0.672 0.345 0.587
Nb 0.170 0.339 0.557
Nb 0.170 0.339 0.943
Pd 0.811 0.622 0.750
S 0.328 0.655 0.087
S 0.955 0.909 0.896
CELL_PARAMETERS angstrom
-4.825 0.660 -0.609
1.460 -2.723 5.255
0.813 10.997 5.473
! Total DFT energy (no corrections), eV per atom: -6.3586
! ρ, g cm⁻³: 4.46
! Symmetry: Cmcm (63)



Record 17
! GaFeC3 | the Alexandria database | GGA-PBE | optimized geometry; values from VASP
&SYSTEM
  ibrav = 0, nat = 5, ntyp = 3
/
ATOMIC_SPECIES
Fe 55.84 Fe.upf
C 12.01 C.upf
Ga 69.72 Ga.upf
ATOMIC_POSITIONS crystal
Fe 0.000 0.000 0.000
C 0.000 0.500 0.000
C 0.500 0.000 0.000
C 0.000 0.000 0.500
Ga 0.500 0.500 0.500
CELL_PARAMETERS angstrom
3.782 0.000 0.000
0.000 3.782 0.000
0.000 0.000 3.782
! Total DFT energy (no corrections), eV per atom: -5.9538
! ρ, g cm⁻³: 4.96
! Symmetry: Pm-3m (221)



Record 18
! Na3LaTm2Te6 | the Alexandria database | GGA-PBE | optimized geometry; values from VASP
&SYSTEM
  ibrav = 0, nat = 12, ntyp = 4
/
ATOMIC_SPECIES
Na 22.99 Na.upf
Tm 168.93 Tm.upf
Te 127.60 Te.upf
La 138.91 La.upf
ATOMIC_POSITIONS crystal
Na 0.500 0.500 0.500
Tm 0.667 0.333 0.000
Te 0.270 0.270 0.767
Te 0.575 0.922 0.767
Te 0.425 0.078 0.233
Te 0.730 0.730 0.233
Tm 0.333 0.667 0.000
Te 0.078 0.425 0.233
Te 0.922 0.575 0.767
La 0.000 0.000 0.000
Na 0.837 0.163 0.500
Na 0.163 0.837 0.500
CELL_PARAMETERS angstrom
7.744 -0.003 -0.003
-3.872 6.706 -0.003
-1.294 -2.241 7.559
! Total DFT energy (no corrections), eV per atom: -4.3831
! ρ, g cm⁻³: 5.55
! Symmetry: C2/m (12)



Record 19
! Sc3AlN | the Alexandria database | GGA-PBE | optimized geometry; values from VASP
&SYSTEM
  ibrav = 0, nat = 20, ntyp = 3
/
ATOMIC_SPECIES
Sc 44.96 Sc.upf
N 14.01 N.upf
Al 26.98 Al.upf
ATOMIC_POSITIONS crystal
Sc 0.062 0.438 0.062
Sc 0.438 0.062 0.438
Sc 0.188 0.812 0.188
Sc 0.812 0.812 0.188
N 0.125 0.125 0.625
Al 0.625 0.125 0.625
Sc 0.188 0.188 0.812
Sc 0.438 0.438 0.062
N 0.125 0.125 0.125
N 0.625 0.125 0.125
Sc 0.438 0.062 0.062
Sc 0.812 0.188 0.188
Sc 0.812 0.188 0.812
Al 0.625 0.625 0.625
Al 0.125 0.625 0.625
N 0.125 0.625 0.125
Al 0.625 0.625 0.125
Sc 0.062 0.438 0.438
Sc 0.188 0.812 0.812
Sc 0.062 0.062 0.438
CELL_PARAMETERS angstrom
-3.635 -2.237 7.189
-6.639 4.227 2.821
-7.563 -3.562 -0.071
! Total DFT energy (no corrections), eV per atom: -6.7730
! ρ, g cm⁻³: 2.83
! Symmetry: Fd-3m (227)



Record 20
! SiO | the Alexandria database | GGA-PBE | optimized geometry; values from VASP
&SYSTEM
  ibrav = 0, nat = 8, ntyp = 2
/
ATOMIC_SPECIES
Si 28.09 Si.upf
O 16.00 O.upf
ATOMIC_POSITIONS crystal
Si 0.900 0.100 0.500
O 0.598 0.402 0.000
O 0.402 0.598 0.000
O 0.098 0.098 0.500
Si 0.100 0.900 0.500
Si 0.400 0.400 0.000
O 0.902 0.902 0.500
Si 0.600 0.600 0.000
CELL_PARAMETERS angstrom
8.605 0.000 0.000
0.000 8.605 0.000
0.000 0.000 2.747
! Total DFT energy (no corrections), eV per atom: -6.3233
! ρ, g cm⁻³: 1.44
! Symmetry: P4_2/mnm (136)



Record 21
! Pm4PrDy6 | the Alexandria database | GGA-PBE | optimized geometry; values from VASP
&SYSTEM
  ibrav = 0, nat = 11, ntyp = 3
/
ATOMIC_SPECIES
Pm 145.00 Pm.upf
Dy 162.50 Dy.upf
Pr 140.91 Pr.upf
ATOMIC_POSITIONS crystal
Pm 0.500 0.803 0.605
Pm 0.500 0.803 0.197
Dy 0.000 0.497 0.503
Dy 0.500 0.171 0.829
Pr 0.000 0.000 0.000
Dy 0.500 0.659 0.829
Pm 0.000 0.333 0.667
Dy 0.500 0.171 0.341
Dy 0.000 0.497 0.993
Dy 0.000 0.007 0.503
Pm 0.500 0.395 0.197
CELL_PARAMETERS angstrom
3.543 0.000 0.000
0.000 11.038 0.000
0.000 -5.519 9.559
! Total DFT energy (no corrections), eV per atom: -4.5191
! ρ, g cm⁻³: 7.53
! Symmetry: P-6m2 (187)



Record 22
! CaPPd6 | the Alexandria database | GGA-PBE | optimized geometry; values from VASP
&SYSTEM
  ibrav = 0, nat = 8, ntyp = 3
/
ATOMIC_SPECIES
Pd 106.42 Pd.upf
P 30.97 P.upf
Ca 40.08 Ca.upf
ATOMIC_POSITIONS crystal
Pd 0.906 0.438 0.750
Pd 0.438 0.906 0.750
P 0.000 0.000 0.000
Pd 0.906 0.906 0.750
Pd 0.562 0.094 0.250
Pd 0.094 0.094 0.250
Ca 0.500 0.500 0.500
Pd 0.094 0.562 0.250
CELL_PARAMETERS angstrom
5.787 0.000 0.000
2.893 5.011 0.000
2.893 1.670 5.279
! Total DFT energy (no corrections), eV per atom: -5.1945
! ρ, g cm⁻³: 7.70
! Symmetry: R-3m (166)



Record 23
! Li7Zn4Cd | the Alexandria database | GGA-PBE | optimized geometry; values from VASP
&SYSTEM
  ibrav = 0, nat = 12, ntyp = 3
/
ATOMIC_SPECIES
Zn 65.41 Zn.upf
Li 6.94 Li.upf
Cd 112.41 Cd.upf
ATOMIC_POSITIONS crystal
Zn 0.538 0.309 0.615
Li 0.749 0.289 0.214
Zn 0.319 0.348 0.014
Cd 0.000 0.000 0.000
Zn 0.681 0.652 0.986
Zn 0.462 0.691 0.385
Li 0.251 0.711 0.786
Li 0.922 0.421 0.735
Li 0.500 0.000 0.000
Li 0.803 0.877 0.518
Li 0.197 0.123 0.482
Li 0.078 0.579 0.265
CELL_PARAMETERS angstrom
4.884 0.000 0.000
2.442 7.156 0.961
2.442 1.124 6.139
! Total DFT energy (no corrections), eV per atom: -1.6753
! ρ, g cm⁻³: 3.35
! Symmetry: C2/m (12)